Entry w
RuCl2O: relaxed, PBE.

Cell and atoms, written as POSCAR:
```
RuCl2O
1.0
-1.791 1.849 6.402
1.791 -1.849 6.402
1.791 1.849 -6.402
Ru Cl O
1 2 1
direct
0.000 0.000 0.000
0.126 0.626 0.500
0.874 0.374 0.500
0.500 0.000 0.500
```

SG = Immm, No. 71
size of the total moment = 0.0000 μB/atom

=====

Entry x
RuCl2O: relaxed, PBE.

Cell and atoms, written as POSCAR:
```
RuCl2O
1.0
1.575 0.909 7.509
-1.575 0.909 7.509
0.000 -1.819 7.509
Ru Cl O
1 2 1
direct
0.000 0.000 0.000
0.096 0.096 0.096
0.904 0.904 0.904
0.500 0.500 0.500
```

SG = R-3m, No. 166
size of the total moment = 0.0000 μB/atom

=====

Entry y
RuCl2O: relaxed, PBE.

Cell and atoms, written as POSCAR:
```
RuCl2O
1.0
-3.054 3.054 3.715
3.054 -3.054 3.715
3.054 3.054 -3.715
Ru Cl O
2 4 2
direct
0.000 0.000 0.000
0.750 0.250 0.500
0.104 0.625 0.979
0.375 0.354 0.479
0.646 0.125 0.021
0.875 0.896 0.521
0.250 0.750 0.500
0.500 0.500 0.000
```

SG = I-42d, No. 122
size of the total moment = 0.0000 μB/atom

=====

Most stable structure, least stable structure: entry w, entry x.

=====

Entry w
RuSCl2O: relaxed, PBE.

Cell and atoms, written as POSCAR:
```
RuSCl2O
1.0
4.568 0.000 0.000
0.000 4.568 0.000
0.000 0.000 4.104
Ru S Cl O
1 1 2 1
direct
0.000 0.000 0.000
0.500 0.500 0.000
0.000 0.500 0.500
0.500 0.000 0.500
0.500 0.500 0.500
```

SG = P4/mmm, No. 123
size of the total moment = 0.8109 μB/atom

=====

Entry x
RuSCl2O: relaxed, PBE.

Cell and atoms, written as POSCAR:
```
RuSCl2O
1.0
5.425 0.000 0.000
0.000 5.425 0.000
0.000 0.000 3.537
Ru S Cl O
1 1 2 1
direct
0.000 0.000 0.000
0.500 0.500 0.000
0.000 0.500 0.500
0.500 0.000 0.500
0.000 0.000 0.500
```

SG = P4/mmm, No. 123
size of the total moment = 0.1590 μB/atom

=====

Most stable structure, least stable structure: entry x, entry w.

=====

Entry w
SClO2: relaxed, PBE.

Cell and atoms, written as POSCAR:
```
SClO2
1.0
4.617 0.000 0.000
-0.182 6.522 0.000
-0.230 -2.159 6.813
S Cl O
2 2 4
direct
0.000 0.000 0.000
0.212 0.307 0.890
0.609 0.731 0.310
0.675 0.575 0.507
0.016 0.454 0.842
0.072 0.051 0.785
0.109 0.264 0.102
0.689 0.983 0.014
```

SG = P1, No. 1
size of the total moment = 0.0107 μB/atom

=====

Entry x
SClO2: relaxed, PBE.

Cell and atoms, written as POSCAR:
```
SClO2
1.0
0.000 4.004 4.004
4.004 0.000 4.004
4.004 4.004 0.000
S Cl O
2 2 4
direct
0.125 0.125 0.125
0.875 0.875 0.875
0.375 0.375 0.375
0.625 0.625 0.625
0.000 0.000 0.000
0.000 0.000 0.500
0.000 0.500 0.000
0.500 0.000 0.000
```

SG = Fd-3m, No. 227
size of the total moment = 0.1588 μB/atom

=====

Entry y
SClO2: relaxed, PBE.

Cell and atoms, written as POSCAR:
```
SClO2
1.0
1.455 0.840 8.251
-1.455 0.840 8.251
0.000 -1.680 8.251
S Cl O
1 1 2
direct
0.000 0.000 0.000
0.500 0.500 0.500
0.060 0.060 0.060
0.940 0.940 0.940
```

SG = R-3m, No. 166
size of the total moment = 0.0000 μB/atom

=====

Most stable structure, least stable structure: entry w, entry x.

=====

Entry w
S2ClO: relaxed, PBE.

Cell and atoms, written as POSCAR:
```
S2ClO
1.0
0.000 3.057 3.057
3.057 0.000 3.057
3.057 3.057 0.000
S Cl O
2 1 1
direct
0.250 0.250 0.250
0.750 0.750 0.750
0.000 0.000 0.000
0.500 0.500 0.500
```

SG = Fm-3m, No. 225
size of the total moment = 0.0000 μB/atom

=====

Entry x
S2ClO: relaxed, PBE.

Cell and atoms, written as POSCAR:
```
S2ClO
1.0
-2.308 2.308 6.695
2.308 -2.308 6.695
2.308 2.308 -6.695
S Cl O
4 2 2
direct
0.375 0.051 0.176
0.801 0.625 0.676
0.875 0.199 0.824
0.949 0.125 0.324
0.250 0.750 0.500
0.500 0.500 0.000
0.000 0.000 0.000
0.750 0.250 0.500
```

SG = I-42d, No. 122
size of the total moment = 0.0000 μB/atom

=====

Entry y
S2ClO: relaxed, PBE.

Cell and atoms, written as POSCAR:
```
S2ClO
1.0
1.792 1.035 7.430
-1.792 1.035 7.430
0.000 -2.069 7.430
S Cl O
2 1 1
direct
0.072 0.072 0.072
0.928 0.928 0.928
0.500 0.500 0.500
0.000 0.000 0.000
```

SG = R-3m, No. 166
size of the total moment = 0.0000 μB/atom

=====

Most stable structure, least stable structure: entry y, entry w.

=====

Entry w
S3ClO: relaxed, PBE.

Cell and atoms, written as POSCAR:
```
S3ClO
1.0
4.328 0.000 0.000
0.000 4.328 0.000
0.000 0.000 4.328
S Cl O
3 1 1
direct
0.000 0.000 0.500
0.000 0.500 0.000
0.500 0.000 0.000
0.500 0.500 0.500
0.000 0.000 0.000
```

SG = Pm-3m, No. 221
size of the total moment = 0.0000 μB/atom

=====

Entry x
S3ClO: relaxed, PBE.

Cell and atoms, written as POSCAR:
```
S3ClO
1.0
4.587 0.000 0.000
0.000 4.587 0.000
0.000 0.000 4.587
S Cl O
3 1 1
direct
0.000 0.000 0.500
0.000 0.500 0.000
0.500 0.000 0.000
0.000 0.000 0.000
0.500 0.500 0.500
```

SG = Pm-3m, No. 221
size of the total moment = 0.0000 μB/atom

=====

Most stable structure, least stable structure: entry w, entry x.

=====

Entry w
SbS2ClO: relaxed, PBE.

Cell and atoms, written as POSCAR:
```
SbS2ClO
1.0
5.091 0.000 0.000
0.000 5.091 0.000
0.000 0.000 5.174
Sb S Cl O
1 2 1 1
direct
0.000 0.000 0.000
0.000 0.500 0.000
0.500 0.000 0.000
0.000 0.000 0.500
0.500 0.500 0.500
```

SG = P4/mmm, No. 123
size of the total moment = 0.6424 μB/atom

=====

Entry x
SbS2ClO: relaxed, PBE.

Cell and atoms, written as POSCAR:
```
SbS2ClO
1.0
4.407 0.000 0.000
0.000 4.407 0.000
0.000 0.000 4.467
Sb S Cl O
1 2 1 1
direct
0.000 0.000 0.000
0.000 0.500 0.500
0.500 0.000 0.500
0.500 0.500 0.000
0.500 0.500 0.500
```

SG = P4/mmm, No. 123
size of the total moment = 0.0000 μB/atom

=====

Most stable structure, least stable structure: entry x, entry w.

=====

Entry w
SbSCl2O: relaxed, PBE.

Cell and atoms, written as POSCAR:
```
SbSCl2O
1.0
4.527 0.000 0.000
0.000 4.527 0.000
0.000 0.000 4.437
Sb S Cl O
1 1 2 1
direct
0.000 0.000 0.000
0.500 0.500 0.000
0.000 0.500 0.500
0.500 0.000 0.500
0.500 0.500 0.500
```

SG = P4/mmm, No. 123
size of the total moment = 0.0000 μB/atom

=====

Entry x
SbSCl2O: relaxed, PBE.

Cell and atoms, written as POSCAR:
```
SbSCl2O
1.0
5.245 0.000 0.000
0.000 5.245 0.000
0.000 0.000 5.076
Sb S Cl O
1 1 2 1
direct
0.000 0.000 0.000
0.000 0.000 0.500
0.000 0.500 0.000
0.500 0.000 0.000
0.500 0.500 0.500
```

SG = P4/mmm, No. 123
size of the total moment = 0.5005 μB/atom

=====

Most stable structure, least stable structure: entry x, entry w.

=====

Entry w
ScS2ClO: relaxed, PBE.

Cell and atoms, written as POSCAR:
```
ScS2ClO
1.0
5.037 0.000 0.000
0.000 5.037 0.000
0.000 0.000 4.911
Sc S Cl O
1 2 1 1
direct
0.000 0.000 0.000
0.000 0.500 0.000
0.500 0.000 0.000
0.000 0.000 0.500
0.500 0.500 0.500
```

SG = P4/mmm, No. 123
size of the total moment = 0.7735 μB/atom

=====

Entry x
ScS2ClO: relaxed, PBE.

Cell and atoms, written as POSCAR:
```
ScS2ClO
1.0
3.934 0.000 0.000
0.000 3.934 0.000
0.000 0.000 5.260
Sc S Cl O
1 2 1 1
direct
0.000 0.000 0.000
0.000 0.500 0.500
0.500 0.000 0.500
0.500 0.500 0.000
0.500 0.500 0.500
```

SG = P4/mmm, No. 123
size of the total moment = 0.0076 μB/atom

=====

Most stable structure, least stable structure: entry x, entry w.